Density functional theory data (GGA-PBE) for Cd3Ag4Sn2 after structural relaxation.

Values from the calculation:
symmetry	C2/m, No. 12
total moment	0.00	μB per formula unit
offset from the most stable computed form	0	kJ/mol of formula units
final energy	-2.416	eV/atom
DOS at the Fermi energy	3.0	states/eV per cell
E_form	0.05	eV per atom

Lattice parameters (Å, degrees): 5.247 5.247 9.465 102.95 102.95 52.88
Fractional positions:
Cd: 0.000 0.000 0.000
Cd: 0.361 0.361 0.547
Cd: 0.639 0.639 0.453
Ag: 0.090 0.090 0.640
Ag: 0.367 0.367 0.858
Ag: 0.633 0.633 0.142
Ag: 0.910 0.910 0.360
Sn: 0.330 0.330 0.177
Sn: 0.670 0.670 0.823